[1]
Below is a relaxed Sr2TaN crystal, with properties calculated at the PBE-GGA level.

Cell lengths 10.8152, 10.8152, 7.9109 Å; angles 46.88, 46.88, 90.00 degrees
With the nearest neighbours (Å) after each atom.
Fractional coordinates of all 8 atoms:
N  0.2500  0.7500  0.5000  2 Ta 2.02
N  0.5000  0.5000  0.0000  2 Ta 2.02
Ta  0.0000  0.0000  0.0000  2 N 2.02
Ta  0.7500  0.2500  0.5000  2 N 2.02
Sr  0.3750  0.5485  0.7500  2 N 2.87, 2 Ta 3.21
Sr  0.4515  0.1250  0.2500  2 N 2.87, 2 Ta 3.21
Sr  0.2985  0.6250  0.2500  2 N 2.87, 2 Ta 3.21
Sr  0.8750  0.7015  0.7500  2 N 2.87, 2 Ta 3.21

Calculated values
SG   No. 122
Uncorrected formation energy   -0.02 eV/atom

---

[2]
Below is a relaxed HoP2Rh4 crystal, with properties calculated at the PBE-GGA level.

Cell lengths 3.6774, 7.6229, 7.6229 Å; angles 90.00, 90.00, 90.00 degrees
With the nearest neighbours (Å) after each atom.
Fractional coordinates of all 14 atoms:
Rh  0.0000  0.0695  0.3204  3 P 2.40-2.41
Rh  0.0000  0.3204  0.0695  3 P 2.40-2.41
Rh  0.0000  0.6796  0.9305  3 P 2.40-2.41
Rh  0.0000  0.9305  0.6796  3 P 2.40-2.41
Rh  0.5000  0.5695  0.1796  3 P 2.40-2.41
Rh  0.5000  0.1796  0.5695  3 P 2.40-2.41
Rh  0.5000  0.4305  0.8204  3 P 2.40-2.41
Rh  0.5000  0.8204  0.4305  3 P 2.40-2.41
P  0.5000  0.7333  0.7333  6 Rh 2.40-2.41
P  0.5000  0.2667  0.2667  6 Rh 2.40-2.41
P  0.0000  0.2333  0.7667  6 Rh 2.40-2.41
P  0.0000  0.7667  0.2333  6 Rh 2.40-2.41
Ho  0.0000  0.5000  0.5000  6 P 2.88-3.12, 8 Rh 3.10
Ho  0.5000  0.0000  0.0000  6 P 2.88-3.12, 8 Rh 3.10

Calculated values
SG   No. 136
Energy of formation   -0.90 eV per atom

---

Number 1: E_tot -47.2 eV/cell. Number 2: E_tot -102.2 eV/cell.